No. 1
6
Lattice="5.735 -0.007 0.008 0.047 5.735 -0.008 -1.614 -4.152 3.611" Properties=species:S:1:pos:R:3 comment="TmGa2 PBE-GGA relaxed" magnetic_moment_mub_per_atom=0.0000 vol_a3_per_atom=19.78 formation_energy_ev_per_atom=-0.60 space_group="Imma (74)" pbc="T T T"
Tm 4.264 2.163 0.905
Tm -0.096 -0.588 2.707
Ga 2.781 -0.950 1.627
Ga 1.386 2.526 1.984
Ga 1.136 0.710 0.182
Ga 3.031 0.865 3.429

No. 2
4
Lattice="3.633 0.000 0.000 0.000 5.168 0.000 -1.817 -2.584 5.571" Properties=species:S:1:pos:R:3 comment="Tm3Ga PBE-GGA relaxed" magnetic_moment_mub_per_atom=0.0000 vol_a3_per_atom=26.15 formation_energy_ev_per_atom=-0.30 space_group="Imm2 (44)" pbc="T T T"
Tm 1.817 -0.433 2.377
Tm 0.000 2.151 3.194
Tm 1.817 2.154 0.000
Ga 0.000 4.741 0.000

No. 3
10
Lattice="-2.565 3.183 0.255 -2.721 -2.001 -2.386 -4.029 -6.700 10.213" Properties=species:S:1:pos:R:3 comment="Tm2Ga3 PBE-GGA relaxed" magnetic_moment_mub_per_atom=0.0000 vol_a3_per_atom=21.51 formation_energy_ev_per_atom=-0.60 space_group="Cmcm (63)" pbc="T T T"
Tm -4.096 -0.653 -0.157
Tm -4.137 -1.000 3.764
Tm -5.178 -4.518 4.318
Tm -5.218 -4.865 8.239
Ga -3.917 -3.306 1.863
Ga -0.937 -0.747 -0.097
Ga -5.397 -2.213 6.219
Ga -7.363 -3.796 6.204
Ga -8.378 -4.771 8.179
Ga -1.951 -1.723 1.878

No. 4
20
Lattice="5.112 0.000 0.000 0.000 9.547 0.000 0.000 0.000 9.547" Properties=species:S:1:pos:R:3 comment="TmGa4 PBE-GGA relaxed" relative_energy_kcal_per_mol_atoms=8.934 magnetic_moment_mub_per_atom=0.0000 vol_a3_per_atom=23.30 formation_energy_ev_per_atom=0.00 space_group="P4/mbm (127)" pbc="T T T"
Ga 2.556 3.750 2.827
Ga 2.556 7.601 8.523
Ga 1.170 4.773 4.773
Ga 2.556 8.596 5.724
Ga 2.556 1.946 1.023
Ga 3.943 4.773 4.773
Ga 1.170 0.000 0.000
Ga 2.556 6.719 3.750
Ga 2.556 8.523 1.946
Ga 2.556 2.827 5.797
Ga 2.556 3.823 8.596
Ga 2.556 0.951 3.823
Ga 2.556 1.023 7.601
Ga 2.556 5.724 0.951
Ga 3.943 0.000 0.000
Ga 2.556 5.797 6.719
Tm 0.000 1.249 6.023
Tm 0.000 3.524 1.249
Tm 0.000 6.023 8.297
Tm 0.000 8.297 3.524

No. 5
4
Lattice="-2.374 -1.481 3.585 1.093 -4.288 -1.048 4.656 3.224 1.530" Properties=species:S:1:pos:R:3 comment="Tm3Ga PBE-GGA relaxed" magnetic_moment_mub_per_atom=0.0001 vol_a3_per_atom=25.37 formation_energy_ev_per_atom=-0.20 space_group="I4/mmm (139)" pbc="T T T"
Tm -0.640 -2.885 1.269
Tm 0.821 -0.571 3.192
Tm 2.554 -1.974 0.876
Ga 0.000 0.000 0.000

No. 6
8
Lattice="-6.112 2.664 0.036 1.399 -5.078 -4.088 -1.453 -3.382 3.704" Properties=species:S:1:pos:R:3 comment="Tm3Ga PBE-GGA relaxed" magnetic_moment_mub_per_atom=0.0000 vol_a3_per_atom=25.13 formation_energy_ev_per_atom=-0.24 space_group="P6_3/mmc (194)" pbc="T T T"
Ga -2.194 -5.034 0.065
Ga -3.971 -0.762 -0.413
Tm -2.970 -2.493 2.080
Tm -5.226 -3.649 0.140
Tm -0.939 -2.147 -0.488
Tm -5.896 -1.217 2.097
Tm -0.269 -4.578 -2.445
Tm -3.195 -3.303 -2.428

No. 7
10
Lattice="-1.434 3.491 1.982 -5.650 -0.820 -2.645 1.550 -5.262 5.804" Properties=species:S:1:pos:R:3 comment="TmGa4 PBE-GGA relaxed" relative_energy_kcal_per_mol_atoms=0.000 magnetic_moment_mub_per_atom=0.0000 vol_a3_per_atom=18.84 formation_energy_ev_per_atom=-0.38 space_group="Imma (74)" pbc="T T T"
Ga -3.856 -2.770 2.088
Ga -0.717 1.745 0.991
Ga -3.713 -1.580 4.679
Ga -1.821 -1.011 0.461
Ga -4.143 -0.178 1.899
Ga -3.542 1.336 -0.332
Ga -1.679 0.180 3.052
Ga -1.391 -2.413 3.242
Tm -4.689 -1.504 -0.744
Tm -0.846 -1.087 5.885

No. 8
6
Lattice="-2.215 -0.715 -4.126 1.181 -4.548 0.154 -6.767 0.791 3.496" Properties=species:S:1:pos:R:3 comment="Tm5Ga PBE-GGA relaxed" magnetic_moment_mub_per_atom=0.0000 vol_a3_per_atom=27.05 formation_energy_ev_per_atom=-0.14 space_group="Cmmm (65)" pbc="T T T"
Tm -3.163 -0.851 -0.874
Tm -4.208 -1.010 2.434
Tm -0.517 -2.631 -1.986
Tm -1.379 -2.747 1.216
Tm -4.638 -3.621 0.398
Ga 0.000 0.000 0.000

No. 9
4
Lattice="4.235 0.000 0.000 0.000 4.237 0.000 0.000 0.000 4.235" Properties=species:S:1:pos:R:3 comment="TmGa3 PBE-GGA relaxed" magnetic_moment_mub_per_atom=0.0000 vol_a3_per_atom=19.00 formation_energy_ev_per_atom=-0.52 space_group="Pm-3m (221)" pbc="T T T"
Tm 2.117 0.000 2.470
Ga 0.000 2.119 2.471
Ga 0.000 0.000 0.354
Ga 2.117 2.119 0.352

No. 10
2
Lattice="4.133 0.000 0.000 2.067 3.579 0.000 2.067 1.193 3.375" Properties=species:S:1:pos:R:3 comment="TmGa PBE-GGA relaxed" magnetic_moment_mub_per_atom=0.2482 vol_a3_per_atom=24.96 formation_energy_ev_per_atom=-0.23 space_group="Fm-3m (225)" pbc="T T T"
Ga 0.000 0.000 0.000
Tm 4.133 2.386 1.687

No. 11
6
Lattice="5.460 0.000 0.000 2.730 4.729 0.000 2.730 1.576 4.458" Properties=species:S:1:pos:R:3 comment="TmGa2 PBE-GGA relaxed" magnetic_moment_mub_per_atom=0.0000 vol_a3_per_atom=19.19 formation_energy_ev_per_atom=-0.52 space_group="Fd-3m (227)" pbc="T T T"
Ga 4.095 3.941 2.786
Ga 5.460 1.576 2.786
Ga 5.460 3.152 0.557
Ga 6.825 3.941 2.786
Tm 0.000 0.000 0.000
Tm 2.730 1.576 1.115

No. 12
16
Lattice="5.997 0.000 0.000 2.998 8.453 0.000 2.998 0.000 8.453" Properties=species:S:1:pos:R:3 comment="Tm3Ga PBE-GGA relaxed" magnetic_moment_mub_per_atom=0.0003 vol_a3_per_atom=26.78 formation_energy_ev_per_atom=-0.26 space_group="I-4 (82)" pbc="T T T"
Tm 4.460 5.175 0.424
Tm 7.486 6.809 0.274
Tm 10.532 8.030 5.175
Tm 6.190 5.695 3.365
Tm 4.535 0.424 3.278
Tm 1.510 0.274 1.644
Tm 7.507 8.180 6.809
Tm 2.806 3.365 2.759
Tm 6.190 2.759 5.089
Tm 8.803 5.089 5.695
Tm 7.486 1.644 8.180
Tm 4.460 3.278 8.030
Ga 9.142 6.354 2.951
Ga 3.145 2.100 5.503
Ga 5.851 2.951 2.100
Ga 5.851 5.503 6.354

No. 13
5
Lattice="-2.533 1.159 3.213 0.652 -1.575 3.896 3.684 5.247 3.824" Properties=species:S:1:pos:R:3 comment="Tm2Ga3 PBE-GGA relaxed" magnetic_moment_mub_per_atom=0.0000 vol_a3_per_atom=22.08 formation_energy_ev_per_atom=-0.51 space_group="R-3m (166)" pbc="T T T"
Tm -0.296 0.920 5.063
Tm 2.099 3.912 5.871
Ga 0.119 2.083 7.784
Ga 0.000 0.000 0.000
Ga 1.685 2.749 3.150

No. 14
6
Lattice="-1.064 0.463 -4.188 -0.635 -4.179 -0.301 -5.578 2.872 1.735" Properties=species:S:1:pos:R:3 comment="TmGa5 PBE-GGA relaxed" magnetic_moment_mub_per_atom=0.0000 vol_a3_per_atom=18.89 formation_energy_ev_per_atom=-0.27 space_group="Cmmm (65)" pbc="T T T"
Ga -0.850 -1.858 -2.244
Ga -3.816 0.506 1.026
Ga -2.397 -1.814 0.408
Ga -2.560 0.501 -1.549
Ga -4.717 -1.345 -1.205
Tm 0.000 0.000 0.000

No. 15
3
Lattice="-2.845 2.455 -1.535 -1.805 -3.142 -1.831 1.121 -0.090 5.654" Properties=species:S:1:pos:R:3 comment="TmGa2 PBE-GGA relaxed" magnetic_moment_mub_per_atom=0.0000 vol_a3_per_atom=21.79 formation_energy_ev_per_atom=-0.34 space_group="C2/m (12)" pbc="T T T"
Tm -2.325 -0.343 -1.683
Ga -0.526 -0.159 1.158
Ga -3.003 -0.618 1.130

No. 16
5
Lattice="-4.143 -2.365 -2.673 0.379 -4.364 3.273 -3.549 2.295 3.470" Properties=species:S:1:pos:R:3 comment="TmGa4 PBE-GGA relaxed" relative_energy_kcal_per_mol_atoms=23.577 magnetic_moment_mub_per_atom=0.0000 vol_a3_per_atom=32.70 formation_energy_ev_per_atom=0.64 space_group="Pm-3m (221)" pbc="T T T"
Ga -3.846 -0.035 0.398
Ga 0.000 0.000 0.000
Ga -1.585 -1.035 3.372
Ga -1.882 -3.365 0.300
Tm -3.656 -2.217 2.035

No. 17
14
Lattice="6.295 0.000 0.000 -2.098 7.706 0.000 -2.098 -3.853 6.673" Properties=species:S:1:pos:R:3 comment="Tm4Ga3 PBE-GGA relaxed" magnetic_moment_mub_per_atom=0.0000 vol_a3_per_atom=23.12 formation_energy_ev_per_atom=-0.47 space_group="R-3 (148)" pbc="T T T"
Ga 4.424 2.566 0.843
Ga -2.326 1.286 5.830
Ga -0.228 -1.839 4.872
Ga 2.326 5.692 1.801
Ga 0.228 3.300 4.029
Ga 1.870 0.553 2.644
Tm 0.000 0.000 0.000
Tm 0.986 0.914 5.689
Tm 3.147 0.000 0.000
Tm 3.085 -1.531 4.620
Tm -0.986 5.384 2.053
Tm 1.112 2.939 0.984
Tm -1.112 0.617 3.037
Tm 3.210 3.236 3.636

No. 18
8
Lattice="4.599 0.000 0.000 0.000 6.175 0.000 0.000 -3.088 5.348" Properties=species:S:1:pos:R:3 comment="TmGa3 PBE-GGA relaxed" magnetic_moment_mub_per_atom=0.0000 vol_a3_per_atom=18.98 formation_energy_ev_per_atom=-0.49 space_group="P6_3/mmc (194)" pbc="T T T"
Tm 1.150 3.088 1.782
Tm 3.449 0.000 3.565
Ga 3.449 1.386 0.800
Ga 1.150 -1.702 4.548
Ga 3.449 4.789 0.800
Ga 1.150 0.000 1.600
Ga 3.449 3.087 3.747
Ga 1.150 1.701 4.547

No. 19
4
Lattice="3.994 0.000 0.000 0.000 4.302 0.000 0.000 -2.151 5.353" Properties=species:S:1:pos:R:3 comment="TmGa PBE-GGA relaxed" magnetic_moment_mub_per_atom=0.0000 vol_a3_per_atom=23.00 formation_energy_ev_per_atom=-0.62 space_group="Cmcm (63)" pbc="T T T"
Tm 0.999 2.151 3.863
Tm 2.996 0.000 1.491
Ga 2.996 0.000 4.513
Ga 0.999 2.151 0.840

No. 20
4
Lattice="-1.215 -2.832 1.344 0.038 -1.463 -3.050 9.198 -3.169 1.635" Properties=species:S:1:pos:R:3 comment="Tm3Ga PBE-GGA relaxed" magnetic_moment_mub_per_atom=0.0017 vol_a3_per_atom=28.05 formation_energy_ev_per_atom=-0.01 space_group="Pmm2 (25)" pbc="T T T"
Tm 0.890 -2.657 -0.591
Tm 4.349 -2.223 -0.756
Tm 6.078 -3.719 1.860
Ga 8.970 -3.090 1.594

No. 21
4
Lattice="-2.288 -2.196 0.317 -0.212 -2.394 -2.093 5.148 -6.955 5.010" Properties=species:S:1:pos:R:3 comment="TmUGa2 PBE-GGA relaxed" relative_energy_kcal_per_mol_atoms=3.004 magnetic_moment_mub_per_atom=0.3971 vol_a3_per_atom=21.61 formation_energy_ev_per_atom=-0.09 space_group="R-3m (166)" pbc="T T T"
Ga 0.686 -2.908 0.831
Ga 1.962 -8.637 2.403
U 0.000 0.000 0.000
Tm 1.324 -5.772 1.617

No. 22
4
Lattice="-2.394 0.636 1.609 -0.388 -5.177 1.470 3.137 0.980 4.280" Properties=species:S:1:pos:R:3 comment="TmUGa2 PBE-GGA relaxed" relative_energy_kcal_per_mol_atoms=0.000 magnetic_moment_mub_per_atom=0.7156 vol_a3_per_atom=21.50 formation_energy_ev_per_atom=-0.22 space_group="P4/mmm (123)" pbc="T T T"
Ga 1.568 0.490 2.140
Ga -0.194 -2.589 0.735
Tm 0.177 -1.780 3.679
U -1.197 0.318 0.804

No. 23
12
Lattice="-0.157 1.739 3.851 1.291 -3.649 1.701 12.174 3.750 -1.198" Properties=species:S:1:pos:R:3 comment="Tm2UGa9 PBE-GGA relaxed" magnetic_moment_mub_per_atom=0.1811 vol_a3_per_atom=19.06 formation_energy_ev_per_atom=-0.43 space_group="P4/mmm (123)" pbc="T T T"
Ga 1.954 1.496 1.725
Ga 0.567 -0.955 2.776
Ga 8.689 1.546 1.976
Ga 6.008 2.744 1.326
Ga 10.787 1.299 -0.148
Ga 10.063 3.993 0.927
Ga 4.620 0.293 2.377
Ga 6.732 0.050 0.251
Ga 2.678 -1.199 0.650
Tm 8.104 2.496 -0.798
Tm 4.070 1.253 -0.401
U 0.000 0.000 0.000

No. 24
9
Lattice="-2.578 -0.919 1.924 1.001 -7.438 -2.210 3.729 2.743 6.308" Properties=species:S:1:pos:R:3 comment="Tm2UGa6 PBE-GGA relaxed" magnetic_moment_mub_per_atom=0.2905 vol_a3_per_atom=19.71 formation_energy_ev_per_atom=-0.43 space_group="P6/mmm (191)" pbc="T T T"
Ga 0.296 -2.033 2.335
Ga 0.962 -6.979 0.866
Ga 1.190 1.364 5.156
Ga 3.106 -2.662 5.800
Ga 1.856 -3.581 3.686
Ga -0.954 -2.952 0.221
U 3.729 2.743 6.308
Tm -0.668 -4.963 2.553
Tm 2.820 -0.651 3.468

No. 25
4
Lattice="-2.386 -1.993 1.327 -1.460 -2.384 -1.900 4.305 -6.660 2.041" Properties=species:S:1:pos:R:3 comment="TmVGa2 PBE-GGA relaxed" relative_energy_kcal_per_mol_atoms=4.490 magnetic_moment_mub_per_atom=0.3612 vol_a3_per_atom=19.67 formation_energy_ev_per_atom=-0.05 space_group="R-3m (166)" pbc="T T T"
V 0.000 0.000 0.000
Ga 0.515 -8.436 1.170
Ga -0.056 -2.601 0.299
Tm 0.229 -5.518 0.734

No. 26
6
Lattice="5.237 0.000 0.000 2.618 4.535 0.000 2.618 1.512 4.276" Properties=species:S:1:pos:R:3 comment="TmVGa4 PBE-GGA relaxed" magnetic_moment_mub_per_atom=0.0000 vol_a3_per_atom=16.93 formation_energy_ev_per_atom=-0.20 space_group="F-43m (216)" pbc="T T T"
Ga 5.237 1.506 2.674
Ga 3.923 3.782 2.674
Ga 6.551 3.782 2.674
Ga 5.237 3.024 0.528
Tm 2.618 1.512 1.069
V 0.000 0.000 0.000